A geometry-optimized Li8FeO4F2 structure. Source: the Alexandria database, functional GGA+U.

Values from the calculation:
Crystal system: triclinic
Total magnetization (μB per formula unit): 3.98
Symmetry: P-1, No. 2
Raw total energy (eV per cell): -74.65
Polymorph energy (0 for the lowest one) (eV/atom): 0.000

Unit cell a=5.4332 b=5.5723 c=5.9347 alpha=93.66 beta=110.68 gamma=117.28
Element x y z (fractional)
Li 0.0839 0.0847 0.3498
Li 0.2385 0.5178 0.6432
Li 0.2831 0.3559 0.0613
Li 0.4132 0.7915 0.3636
Li 0.5868 0.2085 0.6364
Li 0.7169 0.6441 0.9387
Li 0.7615 0.4822 0.3568
Li 0.9161 0.9153 0.6502
Fe 0.5000 0.0000 0.0000
O 0.3171 0.2427 0.7569
O 0.3996 0.1151 0.2618
O 0.6004 0.8849 0.7382
O 0.6829 0.7573 0.2431
F 0.0514 0.4189 0.2767
F 0.9486 0.5811 0.7233